[1]
A relaxed structure of Na3Sn4Ge2. Source: Alexandria via LeMat-Bulk, functional GGA-PBE.

Cell: 8.4868 8.4868 7.2796 Å, 98.61 98.61 86.42°
Closest atoms and distances in Å follow each position.
Element x y z (fractional)
1 Na 0.0718 0.9282 0.7500  4 Ge 3.18-3.42, 6 Sn 3.24-3.40
2 Na 0.2687 0.4665 0.4083  2 Ge 3.13-3.35, 4 Sn 3.24-3.36
3 Na 0.4665 0.2687 0.9083  2 Ge 3.13-3.35, 4 Sn 3.24-3.36
4 Na 0.5335 0.7313 0.0917  2 Ge 3.13-3.35, 4 Sn 3.24-3.36
5 Na 0.7313 0.5335 0.5917  2 Ge 3.13-3.35, 4 Sn 3.24-3.36
6 Na 0.9282 0.0718 0.2500  4 Ge 3.18-3.42, 6 Sn 3.24-3.40
7 Sn 0.0391 0.2903 0.6476  2 Ge 2.73-2.77, 1 Sn 3.03
8 Sn 0.1945 0.5732 0.8980  2 Ge 2.78-2.91, 1 Sn 3.03
9 Sn 0.2903 0.0391 0.1476  2 Ge 2.73-2.77, 1 Sn 3.03
10 Sn 0.4268 0.8055 0.6020  2 Ge 2.78-2.91, 1 Sn 3.03
11 Sn 0.5732 0.1945 0.3980  2 Ge 2.78-2.91, 1 Sn 3.03
12 Sn 0.7097 0.9609 0.8524  2 Ge 2.73-2.77, 1 Sn 3.03
13 Sn 0.8055 0.4268 0.1020  2 Ge 2.78-2.91, 1 Sn 3.03
14 Sn 0.9609 0.7097 0.3524  2 Ge 2.73-2.77, 1 Sn 3.03
15 Ge 0.0992 0.2905 0.0274  4 Sn 2.73-2.91
16 Ge 0.2905 0.0992 0.5274  4 Sn 2.73-2.91
17 Ge 0.7095 0.9008 0.4726  4 Sn 2.73-2.91
18 Ge 0.9008 0.7095 0.9726  4 Sn 2.73-2.91

The value obtained for the formation energy is -0.037 eV per atom. The calculation puts the density of states at the Fermi level at 0.45 states/eV per atom. As for the calculated volume: 28.45 Å³ per atom. The space group is C2/c.

=====

[2]
A relaxed structure of Na4Sn5Ge2. Source: Alexandria via LeMat-Bulk, functional GGA-PBE.

Cell: 8.0992 3.1226 10.7984 Å, 90.00 94.01 90.00°
Closest atoms and distances in Å follow each position.
Element x y z (fractional)
1 Na 0.1536 0.0000 0.3918  2 Na 3.12, 2 Ge 3.32, 8 Sn 3.33-3.47
2 Na 0.2907 0.0000 0.9484  3 Na 3.12-3.49, 4 Ge 3.22-3.24, 6 Sn 3.32-3.39
3 Na 0.7093 0.0000 0.0516  3 Na 3.12-3.49, 4 Ge 3.22-3.24, 6 Sn 3.32-3.39
4 Na 0.8464 0.0000 0.6082  2 Na 3.12, 2 Ge 3.32, 8 Sn 3.33-3.47
5 Sn 0.2035 0.5000 0.6792  1 Ge 3.03, 4 Sn 3.12-3.22, 4 Na 3.33
6 Sn 0.4172 0.5000 0.2091  1 Ge 3.05, 4 Sn 3.12-3.22, 6 Na 3.32-3.39
7 Sn 0.5000 0.5000 0.5000  6 Sn 3.12-3.19, 4 Na 3.35
8 Sn 0.5828 0.5000 0.7909  1 Ge 3.05, 4 Sn 3.12-3.22, 6 Na 3.32-3.39
9 Sn 0.7965 0.5000 0.3208  1 Ge 3.03, 4 Sn 3.12-3.22, 4 Na 3.33
10 Ge 0.0487 0.5000 0.1267  3 Ge 2.79-3.12, 2 Sn 3.03-3.05
11 Ge 0.9513 0.5000 0.8733  3 Ge 2.79-3.12, 2 Sn 3.03-3.05

The value obtained for the formation energy is -0.091 eV per atom. The calculation puts the density of states at the Fermi level at 0.43 states/eV per atom. As for the calculated volume: 24.77 Å³ per atom. The space group is P2/m.

=====

[3]
A relaxed structure of NaSnGe. Source: Alexandria via LeMat-Bulk, functional GGA-PBE.

Cell: 6.0169 6.0169 5.0124 Å, 113.11 113.11 64.03°
Closest atoms and distances in Å follow each position.
Element x y z (fractional)
1 Na 0.0995 0.0995 0.3502  2 Na 3.03-3.14, 3 Ge 3.05-3.21, 4 Sn 3.24-3.30
2 Na 0.9005 0.9005 0.6498  2 Na 3.03-3.14, 3 Ge 3.05-3.21, 4 Sn 3.24-3.30
3 Sn 0.0000 0.5000 0.0000  2 Sn 3.19, 6 Na 3.24-3.54, 6 Ge 3.26-3.47
4 Sn 0.5000 0.0000 0.0000  2 Sn 3.19, 6 Na 3.24-3.54, 6 Ge 3.26-3.47
5 Ge 0.4362 0.4362 0.6910  2 Ge 2.75-2.77, 1 Na 3.05
6 Ge 0.5638 0.5638 0.3090  2 Ge 2.75-2.77, 1 Na 3.05

The value obtained for the formation energy is 0.037 eV per atom. The calculation puts the density of states at the Fermi level at 0.44 states/eV per atom. As for the calculated volume: 24.10 Å³ per atom. The space group is C2/m.

=====

[4]
A relaxed structure of Na4SnGe. Source: Alexandria via LeMat-Bulk, functional GGA-PBE.

Cell: 5.6744 5.6744 12.1879 Å, 95.76 95.76 124.18°
Closest atoms and distances in Å follow each position.
Element x y z (fractional)
1 Na 0.0300 0.7000 0.7330  6 Na 3.16-3.52, 2 Ge 3.19
2 Na 0.1608 0.8392 0.0000  5 Na 3.18-3.23, 4 Sn 3.45
3 Na 0.2988 0.2988 0.5974  4 Ge 3.06-3.07, 1 Sn 3.29
4 Na 0.3000 0.9700 0.2670  6 Na 3.16-3.52, 2 Ge 3.19
5 Na 0.7000 0.0300 0.7330  6 Na 3.16-3.52, 2 Ge 3.19
6 Na 0.7012 0.7012 0.4026  4 Ge 3.06-3.07, 1 Sn 3.29
7 Na 0.8392 0.1608 0.0000  5 Na 3.18-3.23, 4 Sn 3.45
8 Na 0.9700 0.3000 0.2670  6 Na 3.16-3.52, 2 Ge 3.19
9 Sn 0.4379 0.4379 0.8742  1 Sn 2.99, 1 Na 3.29
10 Sn 0.5621 0.5621 0.1258  1 Sn 2.99, 1 Na 3.29
11 Ge 0.2496 0.7504 0.5000  2 Ge 2.66
12 Ge 0.7504 0.2496 0.5000  2 Ge 2.66

The value obtained for the formation energy is -0.111 eV per atom. The calculation puts the density of states at the Fermi level at 0.35 states/eV per atom. As for the calculated volume: 26.42 Å³ per atom. The space group is C2/m.

=====

[5]
A relaxed structure of NaSn2Ge3Te6. Source: Alexandria via LeMat-Bulk, functional GGA-PBE.

Cell: 9.7645 9.7645 8.7941 Å, 103.06 103.06 25.53°
Closest atoms and distances in Å follow each position.
Element x y z (fractional)
1 Na 0.0000 0.0000 0.0000  6 Te 3.18-3.20
2 Sn 0.3390 0.3390 0.6647  6 Te 3.05-3.25
3 Sn 0.6610 0.6610 0.3353  6 Te 3.05-3.25
4 Ge 0.0000 0.0000 0.5000  6 Te 2.99-3.04
5 Ge 0.3316 0.3316 0.1600  6 Te 2.95-3.06
6 Ge 0.6684 0.6684 0.8400  6 Te 2.95-3.06
7 Te 0.1640 0.1640 0.5939  3 Ge 3.04, 3 Sn 3.13-3.25
8 Te 0.1727 0.1727 0.0778  3 Ge 2.95-2.99, 2 Sn 3.17, 1 Na 3.20
9 Te 0.4967 0.4967 0.2632  3 Ge 2.99-3.06, 1 Sn 3.05, 2 Na 3.18
10 Te 0.5033 0.5033 0.7368  3 Ge 2.99-3.06, 1 Sn 3.05, 2 Na 3.18
11 Te 0.8273 0.8273 0.9222  3 Ge 2.95-2.99, 2 Sn 3.17, 1 Na 3.20
12 Te 0.8360 0.8360 0.4061  3 Ge 3.04, 3 Sn 3.13-3.25

The calculation puts the density of states at the Fermi level at 0.49 states/eV per atom. As for the calculated volume: 29.29 Å³ per atom. The space group is C2/m. Its raw formation energy is -0.240 eV/atom.

=====

[6]
A relaxed structure of Na2SnGeTe5. Source: Alexandria via LeMat-Bulk, functional GGA-PBE.

Cell: 10.8571 10.8571 13.6264 Å, 90.00 90.00 158.54°
Closest atoms and distances in Å follow each position.
Element x y z (fractional)
1 Na 0.1142 0.8858 0.5000  6 Te 3.28-3.44
2 Na 0.1163 0.8837 0.8647  6 Te 3.23-3.58
3 Na 0.8837 0.1163 0.3647  6 Te 3.23-3.58
4 Na 0.8858 0.1142 0.0000  6 Te 3.28-3.44
5 Sn 0.2308 0.7692 0.2327  5 Te 2.80-3.06
6 Sn 0.7692 0.2308 0.7327  5 Te 2.80-3.06
7 Ge 0.4365 0.5635 0.6338  4 Te 2.61-2.68
8 Ge 0.5635 0.4365 0.1338  4 Te 2.61-2.68
9 Te 0.0365 0.9635 0.2558  2 Ge 2.68
10 Te 0.2774 0.7226 0.8862  2 Sn 2.91
11 Te 0.3162 0.6838 0.5806  1 Ge 2.67
12 Te 0.3582 0.6418 0.1846  1 Sn 2.80
13 Te 0.4927 0.5073 0.4636  1 Ge 2.61
14 Te 0.5073 0.4927 0.9636  1 Ge 2.61
15 Te 0.6418 0.3582 0.6846  1 Sn 2.80
16 Te 0.6838 0.3162 0.0806  1 Ge 2.67
17 Te 0.7226 0.2774 0.3862  2 Sn 2.91
18 Te 0.9635 0.0365 0.7558  2 Ge 2.68

The calculation puts the density of states at the Fermi level at 0.39 states/eV per atom. As for the calculated volume: 32.65 Å³ per atom. The space group is Cmc2_1. Its raw formation energy is -0.354 eV/atom.

=====

[7]
A relaxed structure of NaTlSnGe. Source: Alexandria via LeMat-Bulk, functional GGA-PBE.

Cell: 5.2641 5.2641 5.2641 Å, 60.00 60.00 60.00°
Closest atoms and distances in Å follow each position.
Element x y z (fractional)
1 Na 0.0000 0.0000 0.0000  4 Tl 3.22, 4 Sn 3.22
2 Tl 0.2500 0.2500 0.2500  4 Ge 3.22, 4 Na 3.22
3 Sn 0.7500 0.7500 0.7500  4 Ge 3.22, 4 Na 3.22
4 Ge 0.5000 0.5000 0.5000  4 Tl 3.22, 4 Sn 3.22

The value obtained for the formation energy is 0.014 eV per atom. The calculation puts the density of states at the Fermi level at 0.21 states/eV per atom. As for the calculated volume: 25.79 Å³ per atom. The space group is F-43m.

=====

[8]
A relaxed structure of NaZnSnGe. Source: Alexandria via LeMat-Bulk, functional GGA-PBE.

Cell: 5.0270 5.0270 5.0270 Å, 60.00 60.00 60.00°
Closest atoms and distances in Å follow each position.
Element x y z (fractional)
1 Na 0.0000 0.0000 0.0000  4 Ge 3.08, 4 Zn 3.08
2 Zn 0.2500 0.2500 0.2500  4 Sn 3.08, 4 Na 3.08
3 Sn 0.5000 0.5000 0.5000  4 Ge 3.08, 4 Zn 3.08
4 Ge 0.7500 0.7500 0.7500  4 Na 3.08, 4 Sn 3.08

The value obtained for the formation energy is 0.097 eV per atom. The calculation puts the density of states at the Fermi level at 1.03 states/eV per atom. As for the calculated volume: 22.46 Å³ per atom. The space group is F-43m.

=====

> The highest calculated volume belongs to which entry?

Na2SnGeTe5